# LiTa2Cu

A relaxed LiTa2Cu crystal (PBE, Alexandria via LeMat-Bulk).

```
LiTa2Cu
1.0
9.8888 0.0232 0.0136
9.4848 2.7979 0.0136
9.4848 1.3811 2.4333
Ta Li Cu
2 1 1
Cartesian
0.0149 0.0022 0.0013 Ta
7.0207 1.0223 0.5986 Ta
21.8527 3.1820 1.8631 Li
14.3993 2.0967 1.2277 Cu
```

Computed properties:
space group: R3m
ΔE_f: 254 meV per atom
spin magnetization: 0.0 μB/f.u.
polymorph energy (0 for the lowest one): 0.094 eV per atom

# LiTaCu

A relaxed LiTaCu crystal (PBE, Alexandria via LeMat-Bulk).

```
LiTaCu
1.0
-5.4829 3.1950 -1.0662
-5.2919 2.4416 2.7278
6.3096 -1.1400 -0.5440
Li Ta Cu
1 1 1
Cartesian
-3.7711 1.9728 0.5815 Li
-7.0367 3.6811 1.0851 Ta
-10.7420 5.6194 1.6565 Cu
```

Computed properties:
space group: I4mm
ΔE_f: 254 meV per atom
spin magnetization: 0.0 μB/f.u.
polymorph energy (0 for the lowest one): 0.021 eV per atom

# LiTb3Cu2

A relaxed LiTb3Cu2 crystal (PBE, Alexandria via LeMat-Bulk).

```
LiTb3Cu2
1.0
5.0034 0.0000 0.0000
-2.5017 4.3331 0.0000
0.0000 0.0000 12.2882
Tb Li Cu
6 2 4
Cartesian
0.0000 0.0000 2.9542 Tb
2.5017 1.4444 7.1580 Tb
0.0000 2.8887 5.1301 Tb
0.0000 2.8887 11.3810 Tb
0.0000 0.0000 9.3339 Tb
2.5017 1.4444 0.9071 Tb
0.0000 2.8887 8.2796 Li
2.5017 1.4444 4.0085 Li
0.0000 0.0000 6.1441 Cu
0.0000 2.8887 2.1970 Cu
2.5017 1.4444 10.0912 Cu
0.0000 0.0000 0.0000 Cu
```

Computed properties:
space group: P-3m1
ΔE_f: -110 meV per atom
spin magnetization: 0.0 μB/f.u.

# Li2TbCu9

A relaxed Li2TbCu9 crystal (PBE, Alexandria via LeMat-Bulk).

```
Li2TbCu9
1.0
-3.3597 -3.0460 1.8874
5.2751 -2.0518 6.0787
-2.9810 6.1847 4.6745
Cu Tb Li
18 2 4
Cartesian
-1.3919 1.3586 9.3981 Cu
0.9168 1.4425 10.3514 Cu
0.4102 -0.8731 5.7129 Cu
0.9577 -2.5489 3.9831 Cu
0.3263 -0.2717 3.2426 Cu
2.5541 -0.4472 6.9246 Cu
-1.4758 1.9600 6.9278 Cu
-3.3779 3.8576 6.6043 Cu
-1.4039 -1.8403 4.2146 Cu
2.3123 -2.7707 6.0364 Cu
0.8238 -2.0159 7.8966 Cu
-1.8894 3.1028 4.7441 Cu
-1.9824 -0.3555 2.2893 Cu
0.3882 0.4903 7.8740 Cu
-3.6197 1.5342 5.7161 Cu
-3.1704 1.5694 3.2810 Cu
-1.4538 0.5966 4.7667 Cu
0.3383 2.9272 8.4261 Cu
0.0000 0.0000 0.0000 Tb
1.1471 2.0664 5.3766 Tb
-0.6047 4.6882 6.4894 Li
2.8988 -0.5553 4.2639 Li
2.8445 1.9785 8.2561 Li
-0.5503 2.1544 2.4972 Li
```

Computed properties:
space group: P4/mbm
ΔE_f: -117 meV per atom
spin magnetization: 0.0 μB/f.u.
polymorph energy (0 for the lowest one): 0.005 eV per atom

# Li2Tb2Cu15

A relaxed Li2Tb2Cu15 crystal (PBE, Alexandria via LeMat-Bulk).

```
Li2Tb2Cu15
1.0
-3.5398 -1.3253 5.2828
4.4452 -3.5566 3.1282
2.3437 4.7210 3.7966
Cu Li Tb
15 2 2
Cartesian
0.5598 2.8877 4.2472 Cu
3.8080 -1.0468 3.3309 Cu
3.3263 -1.8212 5.7590 Cu
-1.1188 -2.0018 4.6295 Cu
3.8871 0.5525 5.3790 Cu
-0.6381 -0.7134 6.8287 Cu
1.1718 2.3605 1.8983 Cu
-0.0773 1.6603 6.4487 Cu
2.2830 2.2884 6.0909 Cu
2.0241 -2.8801 3.7815 Cu
2.2226 -1.7783 1.5641 Cu
-1.7699 -0.6626 2.6414 Cu
0.9661 -2.4493 6.1168 Cu
2.9808 2.2112 3.5940 Cu
-1.7560 0.5080 4.8322 Cu
2.9448 -0.1458 11.0645 Li
0.3042 -0.0151 1.1432 Li
2.1258 -0.1053 7.9874 Tb
1.1232 -0.0556 4.2203 Tb
```

Computed properties:
space group: R-3m
ΔE_f: -145 meV per atom
spin magnetization: 0.0 μB/f.u.

# LiTb2Cu

A relaxed LiTb2Cu crystal (PBE, Alexandria via LeMat-Bulk).

```
LiTb2Cu
1.0
-2.3022 -0.2167 2.7243
-2.4757 -1.3435 -2.1989
2.3542 -6.7192 1.4549
Li Tb Cu
1 2 1
Cartesian
-1.2119 -4.1397 0.9902 Li
1.8213 -5.1984 1.1256 Tb
0.5329 -1.5209 0.3293 Tb
-2.3889 -0.7801 0.2627 Cu
```

Computed properties:
space group: P4/mmm
ΔE_f: -62 meV per atom
spin magnetization: 0.0 μB/f.u.

# Li2TbCu9

A relaxed Li2TbCu9 crystal (PBE, Alexandria via LeMat-Bulk).

```
Li2TbCu9
1.0
-2.6073 0.2347 -4.2194
-1.5151 -4.1763 -2.2178
-8.2801 -1.0815 2.1346
Cu Li Tb
9 2 1
Cartesian
-5.1226 -1.7915 -4.2442 Cu
-7.2799 -3.2317 -0.0584 Cu
-3.8140 -1.9093 -2.1265 Cu
-8.5884 -3.1139 -2.1761 Cu
-4.5744 -4.0054 -3.2396 Cu
-6.2012 -2.5116 -2.1513 Cu
-1.3886 -1.3134 -2.1367 Cu
-7.8280 -1.0178 -1.0630 Cu
-11.0138 -3.7098 -2.1658 Cu
-5.2169 -1.1846 0.2360 Li
-7.1856 -3.8386 -4.5386 Li
0.0000 0.0000 0.0000 Tb
```

Computed properties:
space group: R-3m
ΔE_f: -122 meV per atom
spin magnetization: 0.0 μB/f.u.
polymorph energy (0 for the lowest one): 0.000 eV per atom

# Li2TbCu10

A relaxed Li2TbCu10 crystal (PBE, Alexandria via LeMat-Bulk).

```
Li2TbCu10
1.0
-1.3362 2.3495 -3.9202
-6.3264 -0.5013 -1.0359
-1.6209 6.2462 1.4042
Cu Li Tb
10 2 1
Cartesian
-3.8313 0.9241 -2.4781 Cu
-5.9687 2.1854 -2.4395 Cu
-4.6833 6.2054 -3.3602 Cu
-5.5523 4.5753 -1.1491 Cu
-4.6002 1.8889 -0.1917 Cu
-3.1632 -0.2507 -0.5180 Cu
-2.1239 1.9516 -0.9982 Cu
-3.7312 3.5190 -2.4029 Cu
-7.1596 6.1427 -2.5537 Cu
-3.3148 5.9089 -1.1125 Cu
-0.8104 3.1231 0.7021 Li
-1.4786 4.2978 -1.2580 Li
0.0000 0.0000 0.0000 Tb
```

Computed properties:
space group: Fmmm
ΔE_f: -57 meV per atom
spin magnetization: 0.0 μB/f.u.